The following is a DFT calculation (GGA-PBE) of SrSc2Fe after structural relaxation.

a b c (Å): 3.233 4.322 15.022
angles (deg): 90.00 90.00 90.00
Space group Imm2 (No. 44)
Unique sites:
1 Sr 0.000 0.000 0.000
2 Sc 0.000 0.000 0.316
3 Sc 0.000 0.500 0.179
4 Fe 0.000 0.500 0.686

E_tot   -0.1985 hartree per atom
ΔE to the lowest computed polymorph   203 meV/atom
Calculated formation energy   116 kJ/mol of formula units
DOS at the Fermi energy   6.178 states/eV per cell



The following is a DFT calculation (GGA-PBE) of Li3Zr2ScTe6 after structural relaxation.

a b c (Å): 7.045 12.201 7.516
angles (deg): 90.00 108.19 90.00
Space group C2/m (No. 12)
Unique sites:
1 Li 0.000 0.000 0.000
2 Li 0.000 0.331 0.000
3 Zr 0.000 0.166 0.500
4 Sc 0.000 0.500 0.500
5 Te 0.249 0.334 0.749
6 Te 0.249 0.500 0.250

E_tot   -0.1834 hartree per atom
DOS at the Fermi energy   11.389 states/eV per cell



The following is a DFT calculation (GGA-PBE) of YPSCl2 after structural relaxation.

a b c (Å): 4.723 4.723 4.903
angles (deg): 90.00 90.00 90.00
Space group P4/mmm (No. 123)
Unique sites:
1 Y 0.000 0.000 0.000
2 P 0.500 0.500 0.000
3 S 0.500 0.500 0.500
4 Cl 0.000 0.500 0.500

E_tot   -0.1503 hartree per atom
ΔE to the lowest computed polymorph   498 meV/atom
DOS at the Fermi energy   3.778 states/eV per cell



The following is a DFT calculation (GGA-PBE) of SrCa2Rh after structural relaxation.

a b c (Å): 9.453 9.453 6.321
angles (deg): 90.00 90.00 90.00
Space group I-42d (No. 122)
Unique sites:
1 Sr 0.000 0.000 0.000
2 Ca 0.138 0.250 0.625
3 Rh 0.000 0.000 0.500

E_tot   -0.1227 hartree per atom
ΔE to the lowest computed polymorph   207 meV/atom
Calculated formation energy   -31 kJ/mol of formula units
DOS at the Fermi energy   10.088 states/eV per cell



The following is a DFT calculation (GGA-PBE) of KTa2Sb after structural relaxation.

a b c (Å): 4.853 4.853 20.529
angles (deg): 90.00 90.00 90.00
Space group I-42d (No. 122)
Unique sites:
1 K 0.000 0.000 0.000
2 Ta 0.073 0.250 0.625
3 Sb 0.000 0.000 0.500

E_tot   -0.2259 hartree per atom
DOS at the Fermi energy   6.576 states/eV per cell



The following is a DFT calculation (GGA-PBE) of CaHBr after structural relaxation.

a b c (Å): 4.639 4.639 12.587
angles (deg): 90.00 90.00 90.00
Space group I4/mmm (No. 139)
Unique sites:
1 Ca 0.000 0.000 0.154
2 H 0.000 0.500 0.250
3 Br 0.000 0.500 0.000

E_tot   -0.1230 hartree per atom



The following is a DFT calculation (GGA-PBE) of RbCdHgS2 after structural relaxation.

a b c (Å): 7.709 7.269 6.158
angles (deg): 90.00 113.44 90.00
Space group P2/c (No. 13)
Unique sites:
1 Rb 0.000 0.210 0.250
2 Cd 0.500 0.000 0.250
3 Hg 0.500 0.500 0.000
4 S 0.277 0.190 0.889

E_tot   -0.0947 hartree per atom
DOS at the Fermi energy   7.486 states/eV per cell



The following is a DFT calculation (GGA-PBE) of Fe3SnCl after structural relaxation.

a b c (Å): 4.203 4.203 4.203
angles (deg): 90.00 90.00 90.00
Space group Pm-3m (No. 221)
Unique sites:
1 Fe 0.000 0.000 0.500
2 Sn 0.500 0.500 0.500
3 Cl 0.000 0.000 0.000

E_tot   -0.2037 hartree per atom
ΔE to the lowest computed polymorph   0 meV/atom
DOS at the Fermi energy   5.517 states/eV per cell



The following is a DFT calculation (GGA-PBE) of SrNd2ErS4 after structural relaxation.

a b c (Å): 7.022 4.028 7.072
angles (deg): 90.00 108.96 90.00
Space group P2/m (No. 10)
Unique sites:
1 Sr 0.000 0.000 0.000
2 Nd 0.000 0.500 0.500
3 Nd 0.500 0.000 0.500
4 Er 0.500 0.500 0.000
5 S 0.261 0.500 0.247
6 S 0.265 0.000 0.762

E_tot   -0.2217 hartree per atom
DOS at the Fermi energy   2.948 states/eV per cell



The following is a DFT calculation (GGA-PBE) of LaTc2BiMo after structural relaxation.

a b c (Å): 4.775 4.775 5.475
angles (deg): 90.00 90.00 90.00
Space group P4/mmm (No. 123)
Unique sites:
1 La 0.000 0.000 0.000
2 Tc 0.000 0.500 0.500
3 Bi 0.500 0.500 0.000
4 Mo 0.000 0.000 0.500

E_tot   -0.2629 hartree per atom
Calculated formation energy   444 kJ/mol of formula units
DOS at the Fermi energy   4.743 states/eV per cell



The following is a DFT calculation (GGA-PBE) of Ce7Si2 after structural relaxation.

a b c (Å): 5.1907 5.1907 9.0864
angles (deg): 90.00 90.00 120.00
Space group P-3m1 (No. 164)
Unique sites:
1 Ce 0.0000 0.0000 0.0000
2 Ce 0.0000 0.0000 0.3131
3 Ce 0.3333 0.6667 0.1927
4 Ce 0.3333 0.6667 0.5040
5 Si 0.3333 0.6667 0.8452

E_tot   -0.2226 hartree per atom
DOS at the Fermi energy   23.455 states/eV per cell



The following is a DFT calculation (GGA-PBE) of Pm8CoOs3Cl4 after structural relaxation.

a b c (Å): 13.944 8.056 8.871
angles (deg): 90.00 121.63 90.00
Space group C2/m (No. 12)
Unique sites:
1 Pm 0.014 0.248 0.295
2 Pm 0.234 0.000 0.705
3 Pm 0.236 0.500 0.709
4 Co 0.000 0.000 0.500
5 Os 0.000 0.500 0.500
6 Os 0.250 0.250 0.500
7 Cl 0.000 0.000 0.000
8 Cl 0.000 0.500 0.000
9 Cl 0.250 0.250 0.000

E_tot   -0.2258 hartree per atom
DOS at the Fermi energy   20.723 states/eV per cell



The following is a DFT calculation (GGA-PBE) of ZrIr2RuPb after structural relaxation.

a b c (Å): 4.813 4.813 4.867
angles (deg): 90.00 90.00 90.00
Space group P4/mmm (No. 123)
Unique sites:
1 Zr 0.000 0.000 0.000
2 Ir 0.000 0.500 0.500
3 Ru 0.000 0.000 0.500
4 Pb 0.500 0.500 0.000

E_tot   -0.2552 hartree per atom
Calculated formation energy   437 kJ/mol of formula units
DOS at the Fermi energy   7.011 states/eV per cell



The following is a DFT calculation (GGA-PBE) of SrDyNi2P2 after structural relaxation.

a b c (Å): 3.9272 3.9272 8.2961
angles (deg): 90.00 90.00 120.00
Space group P-3m1 (No. 164)
Unique sites:
1 Sr 0.0000 0.0000 0.0000
2 Dy 0.0000 0.0000 0.5000
3 Ni 0.3333 0.6667 0.7279
4 P 0.3333 0.6667 0.2707

E_tot   -0.2142 hartree per atom
Calculated formation energy   -609 kJ/mol of formula units
DOS at the Fermi energy   2.761 states/eV per cell



The following is a DFT calculation (GGA-PBE) of TiGeSe2 after structural relaxation.

a b c (Å): 3.4515 3.4515 26.2388
angles (deg): 90.00 90.00 120.00
Space group R-3m (No. 166, hexagonal axes)
Unique sites:
1 Ti 0.0000 0.0000 0.0000
2 Ge 0.0000 0.0000 0.5000
3 Se 0.0000 0.0000 0.3939

E_tot   -0.2014 hartree per atom
DOS at the Fermi energy   7.791 states/eV per cell



The following is a DFT calculation (GGA-PBE) of Ga3AgRh after structural relaxation.

a b c (Å): 5.675 6.780 9.203
angles (deg): 90.00 102.78 90.00
Space group P2_1/c (No. 14)
Unique sites:
1 Ga 0.048 0.054 0.342
2 Ga 0.402 0.140 0.095
3 Ga 0.418 0.565 0.115
4 Ag 0.094 0.680 0.457
5 Rh 0.291 0.146 0.811

E_tot   -0.1517 hartree per atom
ΔE to the lowest computed polymorph   0 meV/atom
Calculated formation energy   -131 kJ/mol of formula units
DOS at the Fermi energy   6.307 states/eV per cell



The following is a DFT calculation (GGA-PBE) of ZnPd2Pt6 after structural relaxation.

a b c (Å): 8.351 8.351 3.958
angles (deg): 90.00 90.00 90.00
Space group P4_2/mnm (No. 136)
Unique sites:
1 Zn 0.000 0.000 0.000
2 Pd 0.159 0.159 0.500
3 Pt 0.005 0.669 0.000
4 Pt 0.169 0.831 0.500

E_tot   -0.2025 hartree per atom
ΔE to the lowest computed polymorph   0 meV/atom
Calculated formation energy   -163 kJ/mol of formula units
DOS at the Fermi energy   18.170 states/eV per cell



The following is a DFT calculation (GGA-PBE) of Ca2SnHg2Bi2 after structural relaxation.

a b c (Å): 5.4153 5.4153 24.1048
angles (deg): 90.00 90.00 120.00
Space group R-3m (No. 166, hexagonal axes)
Unique sites:
1 Ca 0.0000 0.0000 0.2179
2 Sn 0.0000 0.0000 0.5000
3 Hg 0.0000 0.0000 0.0765
4 Bi 0.0000 0.0000 0.3581

E_tot   -0.1006 hartree per atom
Calculated formation energy   -269 kJ/mol of formula units
DOS at the Fermi energy   6.551 states/eV per cell



The following is a DFT calculation (GGA-PBE) of Mg2ZnBiSb after structural relaxation.

a b c (Å): 5.565 5.565 5.907
angles (deg): 90.00 90.00 90.00
Space group P4/mmm (No. 123)
Unique sites:
1 Mg 0.000 0.500 0.000
2 Zn 0.000 0.000 0.500
3 Bi 0.500 0.500 0.000
4 Sb 0.500 0.500 0.500

E_tot   -0.0681 hartree per atom
DOS at the Fermi energy   3.386 states/eV per cell



The following is a DFT calculation (GGA-PBE) of PrP4Pd6 after structural relaxation.

a b c (Å): 6.646 6.646 8.599
angles (deg): 90.00 90.00 90.00
Space group I-42m (No. 121)
Unique sites:
1 Pr 0.000 0.000 0.000
2 P 0.213 0.213 0.635
3 Pd 0.000 0.500 0.000
4 Pd 0.150 0.150 0.361

E_tot   -0.2144 hartree per atom
Calculated formation energy   -636 kJ/mol of formula units
DOS at the Fermi energy   11.211 states/eV per cell